# 1
A plane-wave DFT calculation with PBE was carried out for a geometry-optimized Sr3TmU3As8 structure.

Values from the calculation:
ΔH_f (0 K) = -870 meV per atom
space group = R-3m

a = 8.3430 Å, b = 8.3430 Å, c = 8.6292 Å
α = 118.91°, β = 90.00°, γ = 120.00°
Each line ends with the local moment (μB).
Positions (direct):
Sr1 0.0000 0.0000 0.0000  -0.01
Sr2 0.0000 0.5000 0.0000  -0.01
Sr3 0.5000 0.5000 0.0000  -0.01
As1 0.7390 0.4780 0.7170  -0.05
As2 0.2610 0.5220 0.2830  -0.05
As3 0.2744 0.0315 0.2886  -0.07
As4 0.7571 0.0315 0.2886  -0.07
As5 0.7256 0.9685 0.7114  -0.07
As6 0.7571 0.5142 0.2886  -0.07
As7 0.2429 0.4858 0.7114  -0.07
As8 0.2429 0.9685 0.7114  -0.07
U1 0.0000 0.5000 0.5000  1.27
U2 0.5000 0.0000 0.5000  1.27
U3 0.5000 0.5000 0.5000  1.27
Tm1 0.0000 0.0000 0.5000  -0.06

***

# 2
A plane-wave DFT calculation with PBE was carried out for a geometry-optimized SrUAs2 structure.

Values from the calculation:
ΔH_f (0 K) = -703 meV per atom
space group = Pnma

a = 4.4919 Å, b = 5.9481 Å, c = 18.4225 Å
α = 90.00°, β = 90.00°, γ = 90.00°
Each line ends with the local moment (μB).
Positions (direct):
Sr1 0.2500 0.2498 0.0561  -0.01
Sr2 0.7500 0.2502 0.5561  -0.01
Sr3 0.7500 0.7502 0.9439  -0.01
Sr4 0.2500 0.7498 0.4439  -0.01
As1 0.2500 0.2506 0.6772  -0.09
As2 0.7500 0.7499 0.5780  -0.06
As3 0.7500 0.2499 0.9220  -0.06
As4 0.2500 0.7501 0.0780  -0.06
As5 0.2500 0.2501 0.4220  -0.06
As6 0.7500 0.2494 0.1772  -0.09
As7 0.7500 0.7494 0.3228  -0.09
As8 0.2500 0.7506 0.8228  -0.09
U1 0.2500 0.2550 0.8281  2.11
U2 0.2500 0.7550 0.6719  2.11
U3 0.7500 0.7450 0.1719  2.11
U4 0.7500 0.2450 0.3281  2.11

***

# 3
A plane-wave DFT calculation with PBE was carried out for a geometry-optimized SrU4As5 structure.

Values from the calculation:
ΔH_f (0 K) = -773 meV per atom
space group = Immm

a = 4.0969 Å, b = 5.8714 Å, c = 11.1355 Å
α = 105.29°, β = 100.60°, γ = 90.00°
Each line ends with the local moment (μB).
Positions (direct):
As1 0.8019 0.3019 0.6037  -0.08
As2 0.6094 0.1094 0.2187  -0.07
As3 0.0000 0.5000 0.0000  -0.08
As4 0.1981 0.6981 0.3963  -0.08
As5 0.3906 0.8906 0.7813  -0.07
U1 0.2042 0.2042 0.4085  2.28
U2 0.7958 0.7958 0.5915  2.28
U3 0.6002 0.6002 0.2004  2.32
U4 0.3998 0.3998 0.7996  2.32
Sr1 0.0000 0.0000 0.0000  0.01

***

# 4
A plane-wave DFT calculation with PBE was carried out for a geometry-optimized Sr2UAs3 structure.

Values from the calculation:
ΔH_f (0 K) = -1027 meV per atom
space group = Fddd

a = 7.5237 Å, b = 7.5237 Å, c = 13.6798 Å
α = 100.57°, β = 100.57°, γ = 109.44°
Each line ends with the local moment (μB).
Positions (direct):
As1 0.3762 0.4114 0.3204  -0.06
As2 0.0342 0.5342 0.5000  -0.05
As3 0.4658 0.9658 0.5000  -0.05
As4 0.7843 0.7843 0.0000  -0.05
As5 0.5886 0.6238 0.6796  -0.06
As6 0.2157 0.2157 0.0000  -0.05
As7 0.6614 0.1262 0.8204  -0.06
As8 0.1591 0.6942 0.8204  -0.06
As9 0.9442 0.9091 0.3204  -0.06
As10 0.8738 0.3386 0.1796  -0.06
As11 0.0909 0.0558 0.6796  -0.06
As12 0.3058 0.8409 0.1796  -0.06
Sr1 0.9970 0.4970 0.9939  -0.01
Sr2 0.6694 0.1694 0.3388  -0.01
Sr3 0.7470 0.7470 0.4939  -0.01
Sr4 0.8306 0.3306 0.6612  -0.01
Sr5 0.5806 0.5806 0.1612  -0.01
Sr6 0.4194 0.4194 0.8388  -0.01
Sr7 0.5030 0.0030 0.0061  -0.01
Sr8 0.2530 0.2530 0.5061  -0.01
U1 0.9162 0.9162 0.8324  1.32
U2 0.0838 0.0838 0.1676  1.32
U3 0.3338 0.8338 0.6676  1.32
U4 0.1662 0.6662 0.3324  1.32

***

# 5
A plane-wave DFT calculation with PBE was carried out for a geometry-optimized SrU3As4 structure.

Values from the calculation:
ΔH_f (0 K) = -806 meV per atom
space group = Cmmm

a = 4.1110 Å, b = 7.2661 Å, c = 7.2661 Å
α = 71.29°, β = 90.00°, γ = 90.00°
Each line ends with the local moment (μB).
Positions (direct):
U1 0.9999 0.5001 0.5000  2.37
U2 0.9999 0.0001 0.0000  2.37
U3 0.5000 0.0001 0.5000  2.12
As1 0.5002 0.7570 0.2569  -0.08
As2 0.4997 0.2432 0.7431  -0.08
As3 0.0000 0.2330 0.2671  -0.07
As4 0.0000 0.7673 0.7328  -0.07
Sr1 0.5000 0.5001 0.9999  0.00

***

# 6
A plane-wave DFT calculation with PBE was carried out for a geometry-optimized SrUAs2 structure.

Values from the calculation:
ΔH_f (0 K) = -739 meV per atom
space group = P4/mmm

a = 3.6030 Å, b = 3.6030 Å, c = 7.4932 Å
α = 90.00°, β = 90.00°, γ = 90.00°
Each line ends with the local moment (μB).
Positions (direct):
As1 0.0000 0.0000 0.2197  -0.10
As2 0.0000 0.0000 0.7803  -0.10
U1 0.5000 0.5000 0.0000  2.01
Sr1 0.5000 0.5000 0.5000  0.00

***

# 7
A plane-wave DFT calculation with PBE was carried out for a geometry-optimized SrUAs2 structure.

Values from the calculation:
ΔH_f (0 K) = -954 meV per atom
space group = R-3m

a = 4.2356 Å, b = 4.2356 Å, c = 7.5472 Å
α = 73.70°, β = 73.70°, γ = 60.00°
Each line ends with the local moment (μB).
Positions (direct):
As1 0.2612 0.2612 0.2164  -0.07
As2 0.7388 0.7388 0.7836  -0.07
Sr1 0.5000 0.5000 0.5000  0.00
U1 0.0000 0.0000 0.0000  2.02

***

# 8
A plane-wave DFT calculation with PBE was carried out for a geometry-optimized SrUAs2 structure.

Values from the calculation:
ΔH_f (0 K) = -871 meV per atom
space group = R3m

a = 4.2064 Å, b = 4.2064 Å, c = 7.7507 Å
α = 74.25°, β = 74.25°, γ = 60.00°
Each line ends with the local moment (μB).
Positions (direct):
U1 0.6684 0.6684 0.9947  2.05
As1 0.0724 0.0724 0.7829  -0.07
As2 0.2621 0.2621 0.2137  -0.08
Sr1 0.4971 0.4971 0.5088  0.00

***

# 9
A plane-wave DFT calculation with PBE was carried out for a geometry-optimized Sr3U3VAs8 structure.

Values from the calculation:
ΔH_f (0 K) = -692 meV per atom
space group = R-3m

a = 8.1688 Å, b = 8.1686 Å, c = 8.6401 Å
α = 118.21°, β = 90.00°, γ = 120.00°
Each line ends with the local moment (μB).
Positions (direct):
As1 0.7737 0.0255 0.2992  -0.09
As2 0.2263 0.9745 0.7008  -0.09
As3 0.2518 0.0255 0.2992  -0.09
As4 0.2263 0.4526 0.7008  -0.09
As5 0.7737 0.5474 0.2992  -0.09
As6 0.7401 0.4801 0.7202  -0.05
As7 0.2599 0.5199 0.2798  -0.05
As8 0.7482 0.9745 0.7008  -0.09
Sr1 0.0000 0.0000 0.0000  -0.01
Sr2 0.0000 0.5000 0.0000  -0.01
Sr3 0.5000 0.5000 0.0000  -0.01
U1 0.5000 0.0000 0.5000  1.45
U2 0.0000 0.5000 0.5000  1.45
U3 0.5000 0.5000 0.5000  1.45
V1 0.0000 0.0000 0.5000  1.36

***

# 10
A plane-wave DFT calculation with PBE was carried out for a geometry-optimized Sr3YU2As6 structure.

Values from the calculation:
ΔH_f (0 K) = -1096 meV per atom
space group = C2/m

a = 7.3638 Å, b = 7.3638 Å, c = 7.5304 Å
α = 99.37°, β = 99.37°, γ = 120.00°
Each line ends with the local moment (μB).
Positions (direct):
U1 0.6670 0.3330 0.0000  1.74
U2 0.3330 0.6670 0.0000  1.74
As1 0.4141 0.0724 0.2167  -0.06
As2 0.5859 0.9276 0.7833  -0.06
As3 0.2694 0.2694 0.7833  -0.06
As4 0.9276 0.5859 0.7833  -0.06
As5 0.7306 0.7306 0.2167  -0.06
As6 0.0724 0.4141 0.2167  -0.06
Sr1 0.1646 0.8354 0.5000  -0.01
Sr2 0.8354 0.1646 0.5000  -0.01
Sr3 0.5000 0.5000 0.5000  -0.01
Y1 0.0000 0.0000 0.0000  -0.01

***

# 11
A plane-wave DFT calculation with PBE was carried out for a geometry-optimized Sr3U3ZnAs8 structure.

Values from the calculation:
ΔH_f (0 K) = -617 meV per atom
space group = C2/m

a = 8.4891 Å, b = 8.1983 Å, c = 8.4552 Å
α = 117.28°, β = 90.00°, γ = 121.18°
Each line ends with the local moment (μB).
Positions (direct):
As1 0.7854 0.5709 0.3098  -0.05
As2 0.2971 0.0365 0.2743  -0.06
As3 0.2146 0.4291 0.6902  -0.05
As4 0.7394 0.0365 0.2743  -0.06
As5 0.7400 0.4801 0.7177  -0.04
As6 0.2600 0.5199 0.2823  -0.04
As7 0.7029 0.9635 0.7257  -0.06
As8 0.2606 0.9635 0.7257  -0.06
Sr1 0.5000 0.5000 0.0000  -0.01
Sr2 0.0000 0.0000 0.0000  -0.01
Sr3 0.0000 0.5000 0.0000  -0.01
U1 0.5000 0.5000 0.5000  1.19
U2 0.0000 0.5000 0.5000  1.19
U3 0.5000 0.0000 0.5000  1.00
Zn1 0.0000 0.0000 0.5000  -0.01

***

# 12
A plane-wave DFT calculation with PBE was carried out for a geometry-optimized SrV3As structure.

Values from the calculation:
ΔH_f (0 K) = 2437 meV per atom
space group = Pm-3m

a = 4.6158 Å, b = 4.6158 Å, c = 4.6158 Å
α = 90.00°, β = 90.00°, γ = 90.00°
Each line ends with the local moment (μB).
Positions (direct):
Sr1 0.0000 0.0000 0.0000  0.01
V1 0.5000 0.0000 0.0000  0.19
V2 0.0000 0.0000 0.5000  0.19
V3 0.0000 0.5000 0.0000  0.19
As1 0.5000 0.5000 0.5000  0.00

***

# 13
A plane-wave DFT calculation with PBE was carried out for a geometry-optimized Sr4V2As structure.

Values from the calculation:
ΔH_f (0 K) = 435 meV per atom
space group = I4/mmm

a = 6.1345 Å, b = 6.1345 Å, c = 8.9243 Å
α = 69.90°, β = 69.90°, γ = 90.00°
Each line ends with the local moment (μB).
Positions (direct):
As1 0.0000 0.0000 0.0000  0.04
Sr1 0.0000 0.5000 0.0000  0.11
Sr2 0.5000 0.0000 0.0000  0.11
Sr3 0.8074 0.8074 0.3852  0.07
Sr4 0.1926 0.1926 0.6148  0.07
V1 0.5904 0.5904 0.8192  3.14
V2 0.4096 0.4096 0.1808  3.14

***

# 14
A plane-wave DFT calculation with PBE was carried out for a geometry-optimized SrVAs3 structure.

Values from the calculation:
ΔH_f (0 K) = 1330 meV per atom
space group = Pm-3m

a = 5.4876 Å, b = 5.4876 Å, c = 5.4876 Å
α = 90.00°, β = 90.00°, γ = 90.00°
Each line ends with the local moment (μB).
Positions (direct):
V1 0.5000 0.5000 0.5000  3.04
As1 0.0000 0.5000 0.0000  -0.08
As2 0.0000 0.0000 0.5000  -0.08
As3 0.5000 0.0000 0.0000  -0.08
Sr1 0.0000 0.0000 0.0000  0.00

***

# 15
A plane-wave DFT calculation with PBE was carried out for a geometry-optimized SrV3As structure.

Values from the calculation:
ΔH_f (0 K) = 652 meV per atom
space group = Pm-3m

a = 4.9003 Å, b = 4.9003 Å, c = 4.9003 Å
α = 90.00°, β = 90.00°, γ = 90.00°
Each line ends with the local moment (μB).
Positions (direct):
V1 0.0000 0.5000 0.0000  2.40
V2 0.0000 0.0000 0.5000  2.40
V3 0.5000 0.0000 0.0000  2.40
Sr1 0.5000 0.5000 0.5000  0.11
As1 0.0000 0.0000 0.0000  -0.09

***

# 16
A plane-wave DFT calculation with PBE was carried out for a geometry-optimized Sr2VAs structure.

Values from the calculation:
ΔH_f (0 K) = -66 meV per atom
space group = I-42d

a = 11.4980 Å, b = 11.4980 Å, c = 8.4818 Å
α = 47.33°, β = 47.33°, γ = 90.00°
Each line ends with the local moment (μB).
Positions (direct):
V1 0.5000 0.5000 0.0000  2.71
V2 0.2500 0.7500 0.5000  2.71
Sr1 0.8750 0.0408 0.7500  0.03
Sr2 0.3750 0.2092 0.7500  0.03
Sr3 0.9592 0.6250 0.2500  0.03
Sr4 0.7908 0.1250 0.2500  0.03
As1 0.0000 0.0000 0.0000  -0.11
As2 0.7500 0.2500 0.5000  -0.11

***

# 17
A plane-wave DFT calculation with PBE was carried out for a geometry-optimized SrVAs3 structure.

Values from the calculation:
ΔH_f (0 K) = -442 meV per atom
space group = Pm-3m

a = 4.8602 Å, b = 4.8602 Å, c = 4.8602 Å
α = 90.00°, β = 90.00°, γ = 90.00°
Positions (direct):
As1 0.0000 0.0000 0.5000
As2 0.5000 0.0000 0.0000
As3 0.0000 0.5000 0.0000
V1 0.0000 0.0000 0.0000
Sr1 0.5000 0.5000 0.5000

***

# 18
A plane-wave DFT calculation with PBE was carried out for a geometry-optimized SrAs2W structure.

Values from the calculation:
ΔH_f (0 K) = -124 meV per atom
space group = Amm2

a = 4.8017 Å, b = 3.7449 Å, c = 5.8549 Å
α = 71.33°, β = 90.00°, γ = 90.00°
Positions (direct):
Sr1 0.0000 0.5922 0.4404
W1 0.5000 0.8433 0.9389
As1 0.5000 0.1920 0.2407
As2 0.0000 0.8725 0.8800

***

# 19
A plane-wave DFT calculation with PBE was carried out for a geometry-optimized SrAs2W structure.

Values from the calculation:
ΔH_f (0 K) = -252 meV per atom
space group = Pmmm

a = 3.2929 Å, b = 3.2699 Å, c = 8.1031 Å
α = 66.17°, β = 90.00°, γ = 90.00°
Positions (direct):
W1 0.5000 0.7500 0.7500
Sr1 0.5000 0.2500 0.2500
As1 0.0000 0.4462 0.5540
As2 0.0000 0.0538 0.9460

***

# 20
A plane-wave DFT calculation with PBE was carried out for a geometry-optimized SrAs2W structure.

Values from the calculation:
ΔH_f (0 K) = 357 meV per atom
space group = C2/m

a = 6.6298 Å, b = 4.9913 Å, c = 3.4399 Å
α = 80.75°, β = 73.93°, γ = 124.66°
Positions (direct):
Sr1 0.0000 0.5000 0.5000
W1 0.5000 0.5000 0.0000
As1 0.0000 0.0000 0.0000
As2 0.5000 0.0000 0.5000

***

# 21
A plane-wave DFT calculation with PBE was carried out for a geometry-optimized SrAs2W structure.

Values from the calculation:
ΔH_f (0 K) = -39 meV per atom
space group = I-42d

a = 6.3385 Å, b = 6.3385 Å, c = 7.6600 Å
α = 65.56°, β = 65.56°, γ = 90.00°
Each line ends with the local moment (μB).
Positions (direct):
As1 0.0279 0.6250 0.2500  -0.01
As2 0.8750 0.9721 0.7500  -0.01
As3 0.7221 0.1250 0.2500  -0.01
As4 0.3750 0.2779 0.7500  -0.02
Sr1 0.5000 0.5000 0.0000  0.01
Sr2 0.2500 0.7500 0.5000  0.01
W1 0.7500 0.2500 0.5000  0.59
W2 0.0000 0.0000 0.0000  0.60

***

# 22
A plane-wave DFT calculation with PBE was carried out for a geometry-optimized SrAs2W structure.

Values from the calculation:
ΔH_f (0 K) = -204 meV per atom
space group = Imm2

a = 7.6225 Å, b = 7.6225 Å, c = 7.6225 Å
α = 154.11°, β = 152.65°, γ = 38.01°
Positions (direct):
W1 0.2016 0.7016 0.5000
As1 0.7738 0.2738 0.5000
As2 0.0748 0.0748 0.0000
Sr1 0.4498 0.4498 0.0000

***

# 23
A plane-wave DFT calculation with PBE was carried out for a geometry-optimized SrAsW3 structure.

Values from the calculation:
ΔH_f (0 K) = 1415 meV per atom
space group = Pm-3m

a = 4.7726 Å, b = 4.7726 Å, c = 4.7726 Å
α = 90.00°, β = 90.00°, γ = 90.00°
Positions (direct):
W1 0.0000 0.0000 0.5000
W2 0.0000 0.5000 0.0000
W3 0.5000 0.0000 0.0000
Sr1 0.5000 0.5000 0.5000
As1 0.0000 0.0000 0.0000

***

# 24
A plane-wave DFT calculation with PBE was carried out for a geometry-optimized SrAs2W structure.

Values from the calculation:
ΔH_f (0 K) = 509 meV per atom
space group = I-4m2

a = 5.8511 Å, b = 5.8511 Å, c = 5.8511 Å
α = 138.73°, β = 138.73°, γ = 59.79°
Each line ends with the local moment (μB).
Positions (direct):
W1 0.7500 0.2500 0.5000  1.97
As1 0.0000 0.0000 0.0000  -0.09
As2 0.2500 0.7500 0.5000  -0.08
Sr1 0.5000 0.5000 0.0000  0.04

***

# 25
A plane-wave DFT calculation with PBE was carried out for a geometry-optimized SrAs3W structure.

Values from the calculation:
ΔH_f (0 K) = -158 meV per atom
space group = Pm-3m

a = 4.9767 Å, b = 4.9767 Å, c = 4.9767 Å
α = 90.00°, β = 90.00°, γ = 90.00°
Positions (direct):
As1 0.0000 0.5000 0.0000
As2 0.5000 0.0000 0.0000
As3 0.0000 0.0000 0.5000
Sr1 0.5000 0.5000 0.5000
W1 0.0000 0.0000 0.0000